## A
SmZnInS3 after structural relaxation, computed with PBE.

Structure (CIF):
```
data_SmZnInS3
_chemical_formula_sum 'Sm4 Zn4 In4 S12'
_symmetry_space_group_name_H-M 'C m c m'
_symmetry_Int_Tables_number 63
_symmetry_space_group_name_Hall '-C 2c 2'
_cell_length_a 4.016
_cell_length_b 14.066
_cell_length_c 10.785
_cell_angle_alpha 90.00
_cell_angle_beta 90.00
_cell_angle_gamma 90.00
loop_
_atom_site_label
_atom_site_fract_x
_atom_site_fract_y
_atom_site_fract_z
Sm1 0.000 0.000 0.000
Zn1 0.000 0.462 0.250
In1 0.000 0.252 0.750
S1 0.000 0.062 0.250
S2 0.000 0.372 0.069
```

Total moment ... 0.00 μB/atom



## B
SmZnInS3 after structural relaxation, computed with PBE.

Structure (CIF):
```
data_SmZnInS3
_chemical_formula_sum 'Sm4 Zn4 In4 S12'
_symmetry_space_group_name_H-M 'P n m a'
_symmetry_Int_Tables_number 62
_symmetry_space_group_name_Hall '-P 2ac 2n'
_cell_length_a 11.301
_cell_length_b 4.145
_cell_length_c 11.877
_cell_angle_alpha 90.00
_cell_angle_beta 90.00
_cell_angle_gamma 90.00
loop_
_atom_site_label
_atom_site_fract_x
_atom_site_fract_y
_atom_site_fract_z
Sm1 0.020 0.250 0.173
Zn1 0.249 0.750 0.304
In1 0.163 0.250 0.513
S1 0.045 0.750 0.334
S2 0.103 0.250 0.941
S3 0.222 0.750 0.702
```

Total moment ... 0.00 μB/atom



Last place for stability: B



## A
Sr2InTcS6 after structural relaxation, computed with PBE.

Structure (CIF):
```
data_Sr2InTcS6
_chemical_formula_sum 'Sr4 In2 Tc2 S12'
_symmetry_space_group_name_H-M 'C 1 2/m 1'
_symmetry_Int_Tables_number 12
_symmetry_space_group_name_Hall '-C 2y'
_cell_length_a 11.664
_cell_length_b 6.776
_cell_length_c 7.135
_cell_angle_alpha 90.00
_cell_angle_beta 124.92
_cell_angle_gamma 90.00
loop_
_atom_site_label
_atom_site_fract_x
_atom_site_fract_y
_atom_site_fract_z
Sr1 0.247 0.000 0.234
In1 0.000 0.000 0.500
Tc1 0.000 0.500 0.000
S1 0.060 0.254 0.827
S2 0.238 0.500 0.342
```

Total moment ... 0.19 μB/atom



## B
Sr2InTcS6 after structural relaxation, computed with PBE.

Structure (CIF):
```
data_Sr2InTcS6
_chemical_formula_sum 'Sr2 In1 Tc1 S6'
_symmetry_space_group_name_H-M 'P -1'
_symmetry_Int_Tables_number 2
_symmetry_space_group_name_Hall '-P 1'
_cell_length_a 6.451
_cell_length_b 6.726
_cell_length_c 6.863
_cell_angle_alpha 63.75
_cell_angle_beta 64.42
_cell_angle_gamma 64.63
loop_
_atom_site_label
_atom_site_fract_x
_atom_site_fract_y
_atom_site_fract_z
Sr1 0.245 0.255 0.228
In1 0.500 0.500 0.500
Tc1 0.000 0.000 0.000
S1 0.135 0.768 0.332
S2 0.248 0.684 0.839
S3 0.337 0.156 0.801
```

Total moment ... 0.20 μB/atom



Last place for stability: A



## A
TmScInSe3 after structural relaxation, computed with PBE.

Structure (CIF):
```
data_TmScInSe3
_chemical_formula_sum 'Tm4 Sc4 In4 Se12'
_symmetry_space_group_name_H-M 'C m c m'
_symmetry_Int_Tables_number 63
_symmetry_space_group_name_Hall '-C 2c 2'
_cell_length_a 3.986
_cell_length_b 14.992
_cell_length_c 10.996
_cell_angle_alpha 90.00
_cell_angle_beta 90.00
_cell_angle_gamma 90.00
loop_
_atom_site_label
_atom_site_fract_x
_atom_site_fract_y
_atom_site_fract_z
Tm1 0.000 0.000 0.000
Sc1 0.000 0.379 0.250
In1 0.000 0.283 0.750
Se1 0.000 0.002 0.750
Se2 0.000 0.366 0.009
```

Total moment ... 0.00 μB/atom



## B
TmScInSe3 after structural relaxation, computed with PBE.

Structure (CIF):
```
data_TmScInSe3
_chemical_formula_sum 'Tm4 Sc4 In4 Se12'
_symmetry_space_group_name_H-M 'C m c m'
_symmetry_Int_Tables_number 63
_symmetry_space_group_name_Hall '-C 2c 2'
_cell_length_a 3.944
_cell_length_b 15.886
_cell_length_c 10.568
_cell_angle_alpha 90.00
_cell_angle_beta 90.00
_cell_angle_gamma 90.00
loop_
_atom_site_label
_atom_site_fract_x
_atom_site_fract_y
_atom_site_fract_z
Tm1 0.000 0.128 0.250
Sc1 0.000 0.500 0.000
In1 0.000 0.212 0.750
Se1 0.000 0.120 0.514
Se2 0.000 0.491 0.750
```

Total moment ... 0.00 μB/atom



Last place for stability: B



## A
ScZnInSe3 after structural relaxation, computed with PBE.

Structure (CIF):
```
data_ScZnInSe3
_chemical_formula_sum 'Sc4 Zn4 In4 Se12'
_symmetry_space_group_name_H-M 'C m c m'
_symmetry_Int_Tables_number 63
_symmetry_space_group_name_Hall '-C 2c 2'
_cell_length_a 3.946
_cell_length_b 14.606
_cell_length_c 10.434
_cell_angle_alpha 90.00
_cell_angle_beta 90.00
_cell_angle_gamma 90.00
loop_
_atom_site_label
_atom_site_fract_x
_atom_site_fract_y
_atom_site_fract_z
Sc1 0.000 0.000 0.000
Zn1 0.000 0.462 0.250
In1 0.000 0.247 0.750
Se1 0.000 0.068 0.250
Se2 0.000 0.374 0.051
```

Total moment ... 0.00 μB/atom



## B
ScZnInSe3 after structural relaxation, computed with PBE.

Structure (CIF):
```
data_ScZnInSe3
_chemical_formula_sum 'Sc4 Zn4 In4 Se12'
_symmetry_space_group_name_H-M 'C 1 2/m 1'
_symmetry_Int_Tables_number 12
_symmetry_space_group_name_Hall '-C 2y'
_cell_length_a 17.397
_cell_length_b 3.941
_cell_length_c 8.738
_cell_angle_alpha 90.00
_cell_angle_beta 102.11
_cell_angle_gamma 90.00
loop_
_atom_site_label
_atom_site_fract_x
_atom_site_fract_y
_atom_site_fract_z
Sc1 0.174 0.000 0.079
Zn1 0.023 0.500 0.216
In1 0.140 0.000 0.570
Se1 0.000 0.000 0.000
Se2 0.000 0.500 0.500
Se3 0.169 0.500 0.864
Se4 0.170 0.500 0.291
```

Total moment ... 0.00 μB/atom



## C
ScZnInSe3 after structural relaxation, computed with PBE.

Structure (CIF):
```
data_ScZnInSe3
_chemical_formula_sum 'Sc2 Zn2 In2 Se6'
_symmetry_space_group_name_H-M 'P 1 21/m 1'
_symmetry_Int_Tables_number 11
_symmetry_space_group_name_Hall '-P 2yb'
_cell_length_a 8.117
_cell_length_b 3.959
_cell_length_c 10.429
_cell_angle_alpha 90.00
_cell_angle_beta 110.76
_cell_angle_gamma 90.00
loop_
_atom_site_label
_atom_site_fract_x
_atom_site_fract_y
_atom_site_fract_z
Sc1 0.185 0.250 0.138
Zn1 0.423 0.750 0.388
In1 0.230 0.750 0.719
Se1 0.051 0.250 0.866
Se2 0.263 0.250 0.433
Se3 0.424 0.750 0.154
```

Total moment ... 0.00 μB/atom



Last place for stability: B



## A
ScZnInSe3 after structural relaxation, computed with PBE.

Structure (CIF):
```
data_ScZnInSe3
_chemical_formula_sum 'Sc4 Zn4 In4 Se12'
_symmetry_space_group_name_H-M 'P n m a'
_symmetry_Int_Tables_number 62
_symmetry_space_group_name_Hall '-P 2ac 2n'
_cell_length_a 14.652
_cell_length_b 3.969
_cell_length_c 10.656
_cell_angle_alpha 90.00
_cell_angle_beta 90.00
_cell_angle_gamma 90.00
loop_
_atom_site_label
_atom_site_fract_x
_atom_site_fract_y
_atom_site_fract_z
Sc1 0.024 0.250 0.153
Zn1 0.018 0.750 0.399
In1 0.245 0.250 0.458
Se1 0.084 0.750 0.622
Se2 0.093 0.250 0.922
Se3 0.138 0.750 0.238
```

Total moment ... 0.00 μB/atom



## B
ScZnInSe3 after structural relaxation, computed with PBE.

Structure (CIF):
```
data_ScZnInSe3
_chemical_formula_sum 'Sc4 Zn4 In4 Se12'
_symmetry_space_group_name_H-M 'P n m a'
_symmetry_Int_Tables_number 62
_symmetry_space_group_name_Hall '-P 2ac 2n'
_cell_length_a 10.456
_cell_length_b 3.959
_cell_length_c 14.541
_cell_angle_alpha 90.00
_cell_angle_beta 90.00
_cell_angle_gamma 90.00
loop_
_atom_site_label
_atom_site_fract_x
_atom_site_fract_y
_atom_site_fract_z
Sc1 0.008 0.250 0.249
Zn1 0.244 0.250 0.712
In1 0.241 0.750 0.501
Se1 0.044 0.250 0.624
Se2 0.059 0.750 0.123
Se3 0.243 0.750 0.818
```

Total moment ... 0.00 μB/atom



## C
ScZnInSe3 after structural relaxation, computed with PBE.

Structure (CIF):
```
data_ScZnInSe3
_chemical_formula_sum 'Sc4 Zn4 In4 Se12'
_symmetry_space_group_name_H-M 'P n m a'
_symmetry_Int_Tables_number 62
_symmetry_space_group_name_Hall '-P 2ac 2n'
_cell_length_a 12.047
_cell_length_b 3.996
_cell_length_c 12.231
_cell_angle_alpha 90.00
_cell_angle_beta 90.00
_cell_angle_gamma 90.00
loop_
_atom_site_label
_atom_site_fract_x
_atom_site_fract_y
_atom_site_fract_z
Sc1 0.034 0.250 0.162
Zn1 0.245 0.750 0.305
In1 0.157 0.250 0.509
Se1 0.037 0.750 0.320
Se2 0.095 0.250 0.933
Se3 0.241 0.750 0.682
```

Total moment ... 0.00 μB/atom



Last place for stability: C



## A
SmScIn after structural relaxation, computed with PBE.

Structure (CIF):
```
data_SmScIn
_chemical_formula_sum 'Sm4 Sc4 In4'
_symmetry_space_group_name_H-M 'F -4 3 m'
_symmetry_Int_Tables_number 216
_symmetry_space_group_name_Hall 'F -4 2 3'
_cell_length_a 7.224
_cell_length_b 7.224
_cell_length_c 7.224
_cell_angle_alpha 90.00
_cell_angle_beta 90.00
_cell_angle_gamma 90.00
loop_
_atom_site_label
_atom_site_fract_x
_atom_site_fract_y
_atom_site_fract_z
Sm1 0.000 0.000 0.000
Sc1 0.250 0.250 0.250
In1 0.250 0.250 0.750
```

Total moment ... 0.01 μB/atom



## B
SmScIn after structural relaxation, computed with PBE.

Structure (CIF):
```
data_SmScIn
_chemical_formula_sum 'Sm4 Sc4 In4'
_symmetry_space_group_name_H-M 'F -4 3 m'
_symmetry_Int_Tables_number 216
_symmetry_space_group_name_Hall 'F -4 2 3'
_cell_length_a 7.197
_cell_length_b 7.197
_cell_length_c 7.197
_cell_angle_alpha 90.00
_cell_angle_beta 90.00
_cell_angle_gamma 90.00
loop_
_atom_site_label
_atom_site_fract_x
_atom_site_fract_y
_atom_site_fract_z
Sm1 0.000 0.000 0.000
Sc1 0.000 0.000 0.500
In1 0.250 0.250 0.750
```

Total moment ... 0.17 μB/atom



## C
SmScIn after structural relaxation, computed with PBE.

Structure (CIF):
```
data_SmScIn
_chemical_formula_sum 'Sm2 Sc2 In2'
_symmetry_space_group_name_H-M 'P 63/m m c'
_symmetry_Int_Tables_number 194
_symmetry_space_group_name_Hall '-P 6c 2c'
_cell_length_a 5.2323
_cell_length_b 5.2323
_cell_length_c 6.6977
_cell_angle_alpha 90.00
_cell_angle_beta 90.00
_cell_angle_gamma 120.00
loop_
_atom_site_label
_atom_site_fract_x
_atom_site_fract_y
_atom_site_fract_z
Sm1 0.0000 0.0000 0.0000
Sc1 0.3333 0.6667 0.2500
In1 0.3333 0.6667 0.7500
```

Total moment ... 0.00 μB/atom



Last place for stability: A



## A
TbScIn after structural relaxation, computed with PBE.

Structure (CIF):
```
data_TbScIn
_chemical_formula_sum 'Tb4 Sc4 In4'
_symmetry_space_group_name_H-M 'F -4 3 m'
_symmetry_Int_Tables_number 216
_symmetry_space_group_name_Hall 'F -4 2 3'
_cell_length_a 7.120
_cell_length_b 7.120
_cell_length_c 7.120
_cell_angle_alpha 90.00
_cell_angle_beta 90.00
_cell_angle_gamma 90.00
loop_
_atom_site_label
_atom_site_fract_x
_atom_site_fract_y
_atom_site_fract_z
Tb1 0.000 0.000 0.000
Sc1 0.000 0.000 0.500
In1 0.250 0.250 0.750
```

Total moment ... 0.13 μB/atom



## B
TbScIn after structural relaxation, computed with PBE.

Structure (CIF):
```
data_TbScIn
_chemical_formula_sum 'Tb2 Sc2 In2'
_symmetry_space_group_name_H-M 'P 63/m m c'
_symmetry_Int_Tables_number 194
_symmetry_space_group_name_Hall '-P 6c 2c'
_cell_length_a 5.1903
_cell_length_b 5.1903
_cell_length_c 6.6087
_cell_angle_alpha 90.00
_cell_angle_beta 90.00
_cell_angle_gamma 120.00
loop_
_atom_site_label
_atom_site_fract_x
_atom_site_fract_y
_atom_site_fract_z
Tb1 0.0000 0.0000 0.0000
Sc1 0.3333 0.6667 0.2500
In1 0.3333 0.6667 0.7500
```

Total moment ... 0.01 μB/atom



Last place for stability: A



## A
TmScIn after structural relaxation, computed with PBE.

Structure (CIF):
```
data_TmScIn
_chemical_formula_sum 'Tm2 Sc2 In2'
_symmetry_space_group_name_H-M 'P 63/m m c'
_symmetry_Int_Tables_number 194
_symmetry_space_group_name_Hall '-P 6c 2c'
_cell_length_a 5.2061
_cell_length_b 5.2061
_cell_length_c 6.4168
_cell_angle_alpha 90.00
_cell_angle_beta 90.00
_cell_angle_gamma 120.00
loop_
_atom_site_label
_atom_site_fract_x
_atom_site_fract_y
_atom_site_fract_z
Tm1 0.3333 0.6667 0.2500
Sc1 0.0000 0.0000 0.0000
In1 0.3333 0.6667 0.7500
```

Total moment ... 0.20 μB/atom



## B
TmScIn after structural relaxation, computed with PBE.

Structure (CIF):
```
data_TmScIn
_chemical_formula_sum 'Tm2 Sc2 In2'
_symmetry_space_group_name_H-M 'P 63/m m c'
_symmetry_Int_Tables_number 194
_symmetry_space_group_name_Hall '-P 6c 2c'
_cell_length_a 5.1509
_cell_length_b 5.1509
_cell_length_c 6.5129
_cell_angle_alpha 90.00
_cell_angle_beta 90.00
_cell_angle_gamma 120.00
loop_
_atom_site_label
_atom_site_fract_x
_atom_site_fract_y
_atom_site_fract_z
Tm1 0.0000 0.0000 0.0000
Sc1 0.3333 0.6667 0.2500
In1 0.3333 0.6667 0.7500
```

Total moment ... 0.02 μB/atom



## C
TmScIn after structural relaxation, computed with PBE.

Structure (CIF):
```
data_TmScIn
_chemical_formula_sum 'Tm4 Sc4 In4'
_symmetry_space_group_name_H-M 'F -4 3 m'
_symmetry_Int_Tables_number 216
_symmetry_space_group_name_Hall 'F -4 2 3'
_cell_length_a 7.053
_cell_length_b 7.053
_cell_length_c 7.053
_cell_angle_alpha 90.00
_cell_angle_beta 90.00
_cell_angle_gamma 90.00
loop_
_atom_site_label
_atom_site_fract_x
_atom_site_fract_y
_atom_site_fract_z
Tm1 0.000 0.000 0.000
Sc1 0.000 0.000 0.500
In1 0.250 0.250 0.750
```

Total moment ... 0.02 μB/atom



## D
TmScIn after structural relaxation, computed with PBE.

Structure (CIF):
```
data_TmScIn
_chemical_formula_sum 'Tm4 Sc4 In4'
_symmetry_space_group_name_H-M 'F -4 3 m'
_symmetry_Int_Tables_number 216
_symmetry_space_group_name_Hall 'F -4 2 3'
_cell_length_a 7.104
_cell_length_b 7.104
_cell_length_c 7.104
_cell_angle_alpha 90.00
_cell_angle_beta 90.00
_cell_angle_gamma 90.00
loop_
_atom_site_label
_atom_site_fract_x
_atom_site_fract_y
_atom_site_fract_z
Tm1 0.000 0.000 0.000
Sc1 0.250 0.250 0.250
In1 0.250 0.250 0.750
```

Total moment ... 0.17 μB/atom



Last place for stability: D